# Sm2Dy6ErSc3

Crystalline Sm2Dy6ErSc3 at its relaxed geometry (PBE-GGA, Alexandria via LeMat-Bulk).

```
data_Sm2Dy6ErSc3
_cell_length_a 6.056
_cell_length_b 10.484
_cell_length_c 11.484
_cell_angle_alpha 90.00
_cell_angle_beta 100.11
_cell_angle_gamma 90.00
_space_group_name_H-M_alt 'C 1 2/m 1'
_space_group_IT_number 12
loop_
_space_group_symop_operation_xyz
'x,y,z'
'-x,-y,-z'
'-x,y,-z'
'x,-y,z'
'x+1/2,y+1/2,z'
'-x+1/2,-y+1/2,-z'
'-x+1/2,y+1/2,-z'
'x+1/2,-y+1/2,z'
loop_
_atom_site_label
_atom_site_fract_x
_atom_site_fract_y
_atom_site_fract_z
Sm1 0.000 0.167 0.000
Dy1 0.246 0.500 0.740
Dy2 0.247 0.166 0.740
Er1 0.000 0.500 0.000
Sc1 0.000 0.000 0.500
Sc2 0.000 0.334 0.500
```

---

# SmDyEr2Sc2

Crystalline SmDyEr2Sc2 at its relaxed geometry (PBE-GGA, Alexandria via LeMat-Bulk).

```
data_SmDyEr2Sc2
_cell_length_a 6.267
_cell_length_b 17.287
_cell_length_c 3.332
_cell_angle_alpha 90.00
_cell_angle_beta 90.00
_cell_angle_gamma 90.00
_space_group_name_H-M_alt 'P n n m'
_space_group_IT_number 58
loop_
_space_group_symop_operation_xyz
'x,y,z'
'-x,-y,-z'
'-x,-y,z'
'x,y,-z'
'x+1/2,-y+1/2,-z+1/2'
'-x+1/2,y+1/2,z+1/2'
'-x+1/2,y+1/2,-z+1/2'
'x+1/2,-y+1/2,z+1/2'
loop_
_atom_site_label
_atom_site_fract_x
_atom_site_fract_y
_atom_site_fract_z
Sm1 0.000 0.000 0.000
Dy1 0.000 0.500 0.000
Er1 0.222 0.191 0.000
Sc1 0.220 0.354 0.500
```

---

# Sm6DyErSc2

Crystalline Sm6DyErSc2 at its relaxed geometry (PBE-GGA, Alexandria via LeMat-Bulk).

```
data_Sm6DyErSc2
_cell_length_a 9.027
_cell_length_b 14.939
_cell_length_c 9.474
_cell_angle_alpha 90.00
_cell_angle_beta 98.01
_cell_angle_gamma 90.00
_space_group_name_H-M_alt 'C 1 2/c 1'
_space_group_IT_number 15
loop_
_space_group_symop_operation_xyz
'x,y,z'
'-x,-y,-z'
'-x,y,-z+1/2'
'x,-y,z+1/2'
'x+1/2,y+1/2,z'
'-x+1/2,-y+1/2,-z'
'-x+1/2,y+1/2,-z+1/2'
'x+1/2,-y+1/2,z+1/2'
loop_
_atom_site_label
_atom_site_fract_x
_atom_site_fract_y
_atom_site_fract_z
Sm1 0.063 0.175 0.447
Sm2 0.098 0.397 0.619
Sm3 0.213 0.227 0.818
Dy1 0.000 0.408 0.250
Er1 0.000 0.028 0.750
Sc1 0.247 0.050 0.048
```

---

# Sm3Dy6ErSc2

Crystalline Sm3Dy6ErSc2 at its relaxed geometry (PBE-GGA, Alexandria via LeMat-Bulk).

```
data_Sm3Dy6ErSc2
_cell_length_a 6.100
_cell_length_b 10.561
_cell_length_c 11.620
_cell_angle_alpha 90.00
_cell_angle_beta 100.06
_cell_angle_gamma 90.00
_space_group_name_H-M_alt 'C 1 2/m 1'
_space_group_IT_number 12
loop_
_space_group_symop_operation_xyz
'x,y,z'
'-x,-y,-z'
'-x,y,-z'
'x,-y,z'
'x+1/2,y+1/2,z'
'-x+1/2,-y+1/2,-z'
'-x+1/2,y+1/2,-z'
'x+1/2,-y+1/2,z'
loop_
_atom_site_label
_atom_site_fract_x
_atom_site_fract_y
_atom_site_fract_z
Sm1 0.000 0.000 0.000
Sm2 0.000 0.333 0.000
Dy1 0.245 0.000 0.742
Dy2 0.249 0.332 0.742
Er1 0.000 0.500 0.500
Sc1 0.000 0.167 0.500
```

---

Number 1: formation energy 0.044 eV per atom. Number 2: formation energy 0.281 eV per atom. Number 3: formation energy 0.126 eV per atom. Number 4: formation energy 0.038 eV per atom.